# HgBiTe

A relaxed structure of HgBiTe (PBE, Alexandria).

Structure (CIF):
```
data_HgBiTe
_chemical_formula_sum 'Hg4 Bi4 Te4'
_space_group_name_H-M_alt 'P n m a'
_space_group_IT_number 62
_cell_length_a 12.120
_cell_length_b 4.330
_cell_length_c 7.817
_cell_angle_alpha 90.00
_cell_angle_beta 90.00
_cell_angle_gamma 90.00
loop_
_space_group_symop_operation_xyz
'x,y,z'
'-x,-y,-z'
'-x+1/2,-y,z+1/2'
'x+1/2,y,-z+1/2'
'x+1/2,-y+1/2,-z+1/2'
'-x+1/2,y+1/2,z+1/2'
'-x,y+1/2,-z'
'x,-y+1/2,z'
loop_
_atom_site_label
_atom_site_fract_x
_atom_site_fract_y
_atom_site_fract_z
Hg1 0.099 0.250 0.035
Bi1 0.118 0.750 0.325
Te1 0.125 0.250 0.636
```

Computed properties:
- calculated volume (Å³/f.u.) = 102.6
- offset from the most stable computed form (meV/atom) = 49
- M_tot (Bohr magnetons per cell) = 0.0
- Fermi-level density of states (states/eV per cell) = 4.0
- raw total energy (eV per atom) = -2.425

---

# SmPa2WC4

A relaxed structure of SmPa2WC4 (PBE, Alexandria).

Structure (CIF):
```
data_SmPa2WC4
_chemical_formula_sum 'Sm4 Pa8 W4 C16'
_space_group_name_H-M_alt 'C m c m'
_space_group_IT_number 63
_space_group_name_Hall '-C 2c 2'
_cell_length_a 3.512
_cell_length_b 12.075
_cell_length_c 12.518
_cell_angle_alpha 90.00
_cell_angle_beta 90.00
_cell_angle_gamma 90.00
loop_
_atom_site_label
_atom_site_fract_x
_atom_site_fract_y
_atom_site_fract_z
Sm1 0.000 0.102 0.250
Pa1 0.000 0.369 0.041
W1 0.000 0.163 0.750
C1 0.000 0.000 0.000
C2 0.000 0.262 0.624
C3 0.000 0.429 0.250
```

Computed properties:
- calculated volume (Å³/f.u.) = 132.7
- ΔH_f (0 K) (meV per atom) = -118
- M_tot (Bohr magnetons per cell) = 0.0
- Fermi-level density of states (states/eV per cell) = 29.7
- raw total energy (eV per atom) = -9.313

---

# Sm4Mg6Pb7

A relaxed structure of Sm4Mg6Pb7 (PBE, Alexandria).

Structure (CIF):
```
data_Sm4Mg6Pb7
_chemical_formula_sum 'Sm8 Mg12 Pb14'
_space_group_name_H-M_alt 'I m -3 m'
_space_group_IT_number 229
_space_group_name_Hall '-I 4 2 3'
_cell_length_a 9.770
_cell_length_b 9.770
_cell_length_c 9.770
_cell_angle_alpha 90.00
_cell_angle_beta 90.00
_cell_angle_gamma 90.00
loop_
_atom_site_label
_atom_site_fract_x
_atom_site_fract_y
_atom_site_fract_z
Sm1 0.250 0.250 0.250
Mg1 0.000 0.000 0.301
Pb1 0.000 0.000 0.000
Pb2 0.000 0.250 0.500
```

Computed properties:
- calculated volume (Å³/f.u.) = 466.2
- ΔH_f (0 K) (meV per atom) = -242
- M_tot (Bohr magnetons per cell) = 0.0
- Fermi-level density of states (states/eV per cell) = 20.5
- raw total energy (eV per atom) = -3.443

---

> What is the formula in the first record?

HgBiTe